VASP calculation (PBE) on crystalline NdHoFe2Si4 at its relaxed geometry.

POSCAR file:
```
NdHoFe2Si4
1.0
4.005 0.000 0.000
0.000 2.054 8.211
0.000 -2.054 8.211
Nd Ho Fe Si
1 1 2 4
direct
0.000 0.000 0.000
0.500 0.215 0.215
0.000 0.786 0.786
0.500 0.425 0.425
0.000 0.354 0.354
0.000 0.651 0.651
0.500 0.565 0.565
0.500 0.855 0.855
```

Computed properties:
ρ (g cm⁻³): 6.55
Space group: Amm2, No. 38
Calculated total energy (eV per cell): -52.354